VASP calculation (PBE-GGA) on KSiTe2 after structural relaxation.

## Properties
Final energy ... -3.361 eV/atom
M_tot ... 0.0 μB per formula unit
Formation energy from raw total energies ... -159.6 meV per atom

a b c (Å): 8.4980 8.4980 8.4980
angles (deg): 155.21 149.85 39.42
Atoms (fractional coordinates):
K  0.4482  0.4482  0.0000
Si  0.2009  0.7009  0.5000
Te  0.0772  0.0772  0.0000
Te  0.7738  0.2738  0.5000

***

VASP calculation (PBE-GGA) on CaDy2Au after structural relaxation.

## Properties
Final energy ... -3.884 eV/atom
ΔH_f (0 K) ... -6.1 kcal/mol of atoms
Energy relative to the lowest polymorph listed for this composition ... 87 meV per atom
M_tot ... 0.0 μB per formula unit

a b c (Å): 3.8798 3.8798 10.2434
angles (deg): 79.08 79.08 60.00
Atoms (fractional coordinates):
Ca  0.5012  0.5012  0.4965
Dy  0.0622  0.0622  0.8133
Dy  0.2705  0.2705  0.1885
Au  0.6661  0.6661  0.0017

***

VASP calculation (PBE-GGA) on Sr3In6SnHg2 after structural relaxation.

## Properties
Final energy ... -2.438 eV/atom
ΔH_f (0 K) ... -6.1 kcal/mol of atoms
M_tot ... 0.0 μB per formula unit

a b c (Å): 6.2098 6.2098 11.1374
angles (deg): 90.00 90.00 120.00
Atoms (fractional coordinates):
Sr  0.3333  0.6667  0.5788
Sr  0.6667  0.3333  0.4212
Sr  0.0000  0.0000  0.0000
In  0.6604  0.8302  0.2649
In  0.1698  0.3396  0.2649
In  0.1698  0.8302  0.2649
In  0.8302  0.6604  0.7351
In  0.3396  0.1698  0.7351
In  0.8302  0.1698  0.7351
Sn  0.0000  0.0000  0.5000
Hg  0.6667  0.3333  0.0721
Hg  0.3333  0.6667  0.9279

***

VASP calculation (PBE-GGA) on ReSb2N after structural relaxation.

## Properties
Final energy ... -6.331 eV/atom
M_tot ... 0.0 μB per formula unit
Formation energy from raw total energies ... 923.3 meV per atom

a b c (Å): 5.7606 5.7606 6.4409
angles (deg): 63.44 63.44 90.00
Atoms (fractional coordinates):
Re  0.0000  0.0000  0.0000
Re  0.7500  0.2500  0.5000
N  0.5000  0.5000  0.0000
N  0.2500  0.7500  0.5000
Sb  0.5764  0.1250  0.2500
Sb  0.1736  0.6250  0.2500
Sb  0.3750  0.4236  0.7500
Sb  0.8750  0.8264  0.7500

***

VASP calculation (PBE-GGA) on CuN after structural relaxation.

## Properties
Final energy ... -5.236 eV/atom
Energy relative to the lowest polymorph listed for this composition ... 598 meV per atom
M_tot ... 0.0 μB per formula unit
Formation energy from raw total energies ... 975.2 meV per atom

a b c (Å): 3.1323 3.1323 3.1323
angles (deg): 60.00 60.00 60.00
Atoms (fractional coordinates):
Cu  0.0000  0.0000  0.0000
N  0.2500  0.2500  0.2500

***

VASP calculation (PBE-GGA) on SrSc2MnRh after structural relaxation.

## Properties
Final energy ... -4.388 eV/atom
ΔH_f (0 K) ... 41.2 kcal/mol of atoms
M_tot ... 0.0 μB per formula unit

a b c (Å): 4.9895 4.2351 4.9895
angles (deg): 90.00 90.00 90.00
Atoms (fractional coordinates):
Sc  0.0000  0.0000  0.5000
Sc  0.5000  0.0000  0.0000
Sr  0.0000  0.0000  0.0000
Mn  0.0000  0.5000  0.0000
Rh  0.5000  0.5000  0.5000

***

VASP calculation (PBE-GGA) on SrErInPb after structural relaxation.

## Properties
Final energy ... -3.540 eV/atom
ΔH_f (0 K) ... -8.5 kcal/mol of atoms
M_tot ... 0.0 μB per formula unit

a b c (Å): 5.5606 5.5606 5.5606
angles (deg): 60.00 60.00 60.00
Atoms (fractional coordinates):
Pb  0.5000  0.5000  0.5000
Sr  0.2500  0.2500  0.2500
In  0.0000  0.0000  0.0000
Er  0.7500  0.7500  0.7500

***

VASP calculation (PBE-GGA) on La2AsP after structural relaxation.

## Properties
Final energy ... -6.419 eV/atom
ΔH_f (0 K) ... -33.2 kcal/mol of atoms
Energy relative to the lowest polymorph listed for this composition ... 133 meV per atom
M_tot ... 0.0 μB per formula unit

a b c (Å): 7.7648 7.7648 7.7648
angles (deg): 31.86 31.86 31.86
Atoms (fractional coordinates):
As  0.7506  0.7506  0.7506
La  0.9966  0.9966  0.9966
La  0.1708  0.1708  0.1708
P  0.5821  0.5821  0.5821

***

VASP calculation (PBE-GGA) on Pm5YHo4 after structural relaxation.

## Properties
Final energy ... -4.493 eV/atom
ΔH_f (0 K) ... 8.3 kcal/mol of atoms
Energy relative to the lowest polymorph listed for this composition ... 323 meV per atom
M_tot ... 0.0 μB per formula unit

a b c (Å): 11.4876 6.7842 9.0758
angles (deg): 90.00 90.00 90.00
Atoms (fractional coordinates):
Pm  0.2798  0.7481  0.8142
Pm  0.2798  0.2519  0.8142
Pm  0.7847  0.5000  0.0000
Pm  0.2798  0.7481  0.1858
Pm  0.2798  0.2519  0.1858
Pm  0.7202  0.7519  0.3142
Pm  0.7202  0.2481  0.3142
Pm  0.2153  0.0000  0.5000
Pm  0.7202  0.2481  0.6858
Pm  0.7202  0.7519  0.6858
Y  0.8193  0.0000  0.0000
Y  0.1807  0.5000  0.5000
Ho  0.9954  0.0000  0.7001
Ho  0.5422  0.7533  0.0000
Ho  0.5422  0.2467  0.0000
Ho  0.9954  0.0000  0.2999
Ho  0.0046  0.5000  0.2001
Ho  0.4578  0.7467  0.5000
Ho  0.4578  0.2533  0.5000
Ho  0.0046  0.5000  0.7999

***

VASP calculation (PBE-GGA) on PrTlHg4 after structural relaxation.

## Properties
Final energy ... -1.478 eV/atom
ΔH_f (0 K) ... -2.0 kcal/mol of atoms
Energy relative to the lowest polymorph listed for this composition ... 169 meV per atom
M_tot ... 0.0 μB per formula unit

a b c (Å): 4.4703 4.4792 9.3358
angles (deg): 90.00 90.00 89.97
Atoms (fractional coordinates):
Pr  0.5013  0.4972  0.9981
Tl  0.0011  0.9976  0.4981
Hg  0.5013  0.9972  0.2466
Hg  0.5013  0.9972  0.7497
Hg  0.0014  0.4973  0.7493
Hg  0.0014  0.4973  0.2470

***

VASP calculation (PBE-GGA) on AcMg2Cd2Ag2 after structural relaxation.

## Properties
Final energy ... -2.301 eV/atom
ΔH_f (0 K) ... -4.2 kcal/mol of atoms
M_tot ... 0.0 μB per formula unit

a b c (Å): 4.7538 4.7538 9.1977
angles (deg): 75.02 75.02 60.00
Atoms (fractional coordinates):
Ac  0.0000  0.0000  0.0000
Mg  0.1390  0.1390  0.5831
Mg  0.8610  0.8610  0.4169
Cd  0.7449  0.7449  0.7654
Cd  0.2551  0.2551  0.2346
Ag  0.5571  0.5571  0.3286
Ag  0.4429  0.4429  0.6714

***

VASP calculation (PBE-GGA) on SnSb2IF after structural relaxation.

## Properties
Final energy ... -2.730 eV/atom
Energy relative to the lowest polymorph listed for this composition ... 546 meV per atom
M_tot ... 1.5 μB per formula unit
Formation energy from raw total energies ... 403.3 meV per atom

a b c (Å): 5.7565 5.7565 5.8773
angles (deg): 90.00 90.00 90.00
Last column: magnetic moment on the atom in μB.
Atoms (fractional coordinates):
I  0.0000  0.0000  0.5000  0.06
Sb  0.0000  0.5000  0.0000  0.27
Sb  0.5000  0.0000  0.0000  0.27
Sn  0.0000  0.0000  0.0000  0.00
F  0.5000  0.5000  0.5000  0.05